A geometry-optimized Mg2MnCl structure, computed with GGA-PBE.

The space group is I4/mmm (No. 139) and the conventional cell measures 4.205, 4.205 and 9.288 Å, with angles of 90.00, 90.00 and 90.00 degrees. The inequivalent atoms are Mg at (0.000, 0.500, 0.250), Mn at (0.000, 0.000, 0.000) and Cl at (0.000, 0.000, 0.500).

The calculation puts the total energy at -3.42 eV per atom. The density of states at the Fermi level comes out at 4.0 states/eV/cell. The calculation puts the energy relative to the lowest polymorph listed for this composition at 1.77 eV/f.u. The calculation puts the uncorrected formation energy at 0.14 eV/atom. For the density, the calculation gives 2.81 g/cm³.